## BaBiPt2Pb (PBE)

Data for a relaxed BaBiPt2Pb crystal.

```
BaBiPt2Pb
1.0
5.117 0.000 0.000
0.000 4.926 0.000
-0.528 0.000 10.654
Pt Ba Bi Pb
4 2 2 2
direct
0.170 0.750 0.496 Pt
0.735 0.750 0.874 Pt
0.830 0.250 0.504 Pt
0.265 0.250 0.126 Pt
0.764 0.750 0.256 Ba
0.236 0.250 0.744 Ba
0.247 0.750 0.997 Bi
0.753 0.250 0.003 Bi
0.314 0.250 0.389 Pb
0.686 0.750 0.611 Pb
```

Computed properties:
V: 26.86 A^3/atom
raw total energy: -4.94 eV per atom